VASP calculation (PBE) on a relaxed structure of AlZnGa2Ag4.

extended XYZ file:
```
16
Lattice="-4.4737 -2.3833 6.2245 3.2117 -7.2203 -1.3727 4.5206 8.0992 -0.5977" Properties=species:S:1:pos:R:3 pbc="T T T"
Ag 5.8335 2.0728 -0.1038
Ag -0.1911 -2.4377 1.1058
Al 1.6293 -0.7522 2.1270
Ga -2.2134 1.6663 5.9255
Zn -0.6076 -1.9439 5.2392
Ag 3.4497 0.9333 3.1482
Ag 1.2247 -3.0554 3.4438
Al 3.2116 -7.2203 -1.3727
Zn 6.1264 4.4890 -1.2841
Ga -0.6311 -4.8018 2.4259
Ag -0.2604 0.4380 4.0052
Ga 2.2837 6.9075 2.5145
Ag -2.5751 -3.5773 4.3578
Ag 3.5189 -1.9425 0.2488
Ga 0.0234 2.8579 2.8134
Ag 2.0338 1.5510 0.8101
```

Values from the calculation:
- magnetization (μB/atom) = 0.00
- symmetry = No. 74
- mass density (g/cm³) = 7.2
- energy of formation from the pure elements (meV/atom) = 113

VASP calculation (PBE) on a relaxed structure of AlZn2GaAg.

extended XYZ file:
```
10
Lattice="4.3679 0.0000 0.0000 0.0000 7.3332 0.3289 0.0000 -1.3778 5.4470" Properties=species:S:1:pos:R:3 pbc="T T T"
Al 1.0920 4.5619 5.3982
Ga 1.0920 -0.2519 4.2500
Zn 1.0920 2.9798 0.7883
Al 3.2759 1.3935 0.3777
Ag 3.2759 0.8163 3.0680
Ag 1.0920 5.1392 2.7078
Zn 3.2759 2.9757 4.9876
Zn 1.0920 2.4717 3.5224
Zn 3.2759 3.4837 2.2535
Ga 3.2759 6.2073 1.5259
```

Values from the calculation:
- magnetization (μB/atom) = 0.00
- symmetry = No. 11
- mass density (g/cm³) = 6.3
- energy of formation from the pure elements (meV/atom) = 41

VASP calculation (PBE) on a relaxed structure of AlZnGaAg3.

extended XYZ file:
```
12
Lattice="-2.5924 1.8322 0.6058 -3.0065 -5.8348 4.7815 4.7586 5.2681 4.4311" Properties=species:S:1:pos:R:3 pbc="T T T"
Ag 1.2671 0.9740 6.7877
Al -1.1857 0.0611 7.6724
Ag -4.2971 -3.4652 5.0226
Ag -0.4647 2.0696 4.6832
Zn -1.9173 -2.4955 3.6533
Ag -2.1074 0.2916 3.0307
Ag 3.4568 4.7308 4.7957
Ag -0.3756 -0.8040 5.1352
Al 0.3454 1.2044 2.1460
Ga -2.7504 -1.7050 6.3180
Zn 1.0770 3.7611 6.1650
Ga 1.9101 2.9705 3.5004
```

Values from the calculation:
- magnetization (μB/atom) = 0.00
- symmetry = No. 11
- mass density (g/cm³) = 7.8
- energy of formation from the pure elements (meV/atom) = -16

VASP calculation (PBE) on a relaxed structure of AlZn2GaAg4.

extended XYZ file:
```
16
Lattice="7.6140 -0.0042 -0.0442 -0.0095 7.6140 -0.0442 -3.7914 -3.7940 5.4257" Properties=species:S:1:pos:R:3 pbc="T T T"
Ga 5.7135 1.9058 2.6465
Zn 3.8070 -0.0021 -0.0221
Ag 0.0257 -0.0233 2.6960
Ag 3.7921 -0.0187 2.6388
Ga -0.0047 3.8071 -0.0221
Ag 1.9184 5.7298 -0.0143
Zn 3.8022 3.8049 -0.0442
Ag 3.7874 3.8391 2.6412
Ag -1.8616 -1.9118 5.3983
Al -0.0095 7.6140 -0.0442
Al 1.9066 1.9079 2.6687
Zn 1.9017 5.7149 2.6465
Ag 5.6746 5.7276 -0.0610
Zn -1.8957 -1.8970 2.7128
Ag 0.0209 3.8345 2.6986
Ag 1.8948 -1.9140 5.3516
```

Values from the calculation:
- magnetization (μB/atom) = 0.00
- symmetry = No. 74
- mass density (g/cm³) = 7.0
- energy of formation from the pure elements (meV/atom) = 230

VASP calculation (PBE) on a relaxed structure of AlZnGaAg.

extended XYZ file:
```
4
Lattice="-4.6314 0.2597 -0.2582 2.6186 -2.9626 2.4392 1.7037 3.8011 2.5888" Properties=species:S:1:pos:R:3 pbc="T T T"
Al -0.6417 -0.9597 1.9126
Ag -0.6343 0.6953 3.9704
Ga -1.0918 1.7221 1.1265
Zn -2.8257 -0.4158 0.5711
```

Values from the calculation:
- magnetization (μB/atom) = 0.00
- symmetry = No. 8
- mass density (g/cm³) = 6.1
- energy of formation from the pure elements (meV/atom) = 70

VASP calculation (PBE) on a relaxed structure of AlZn2GaAg5.

extended XYZ file:
```
18
Lattice="-1.0838 -2.7007 0.3641 4.4593 0.7311 6.8854 -10.3364 4.9792 6.1657" Properties=species:S:1:pos:R:3 pbc="T T T"
Ag -1.0053 0.6037 1.4854
Ag -3.5359 1.2403 10.4864
Ag -7.3140 2.4448 8.1744
Al -3.7729 0.7816 6.3777
Zn -6.0998 2.2852 10.6051
Ag -0.5228 -0.8410 4.0166
Ag -0.9796 1.2069 6.0358
Al -8.0379 4.5644 9.9305
Ga -9.7555 3.3705 7.7738
Zn 0.7977 -1.0504 6.3944
Zn -5.7526 3.0937 5.8242
Ga -1.8740 1.8880 8.4263
Ag -8.5414 2.5788 5.5151
Ag -4.4358 2.8861 8.2043
Ag 0.6185 0.8943 8.4739
Zn -2.3939 1.4628 3.7245
Ag -6.7913 4.3830 12.2956
Ag -5.1163 1.0096 4.0704
```

Values from the calculation:
- magnetization (μB/atom) = 0.00
- symmetry = No. 36
- mass density (g/cm³) = 8.2
- energy of formation from the pure elements (meV/atom) = 5

VASP calculation (PBE) on a relaxed structure of Al5Zn2GaAg.

extended XYZ file:
```
18
Lattice="6.4393 0.0000 0.0000 0.0000 6.4393 0.0000 -3.2197 -3.2197 7.7243" Properties=species:S:1:pos:R:3 pbc="T T T"
Al 1.8487 1.3709 2.0971
Al -1.3709 -1.8487 5.6272
Al 3.2197 3.2197 0.0000
Ag 0.0000 3.2197 3.8621
Al 1.3709 4.5906 2.0971
Zn 2.3824 5.6021 0.0000
Zn 4.0569 0.8373 0.0000
Al 1.8487 -1.3709 5.6272
Ag 3.2197 0.0000 3.8621
Ga 3.2197 3.2197 3.8621
Al 0.0000 0.0000 0.0000
Ga 0.0000 0.0000 3.8621
Al -1.8487 1.3709 5.6272
Zn 0.8373 2.3824 0.0000
Al 1.3709 1.8487 5.6272
Zn 5.6021 4.0569 0.0000
Al 4.5906 5.0684 2.0971
Al 5.0684 1.8487 2.0971
```

Values from the calculation:
- magnetization (μB/atom) = 0.00
- symmetry = No. 140
- mass density (g/cm³) = 4.6
- energy of formation from the pure elements (meV/atom) = 156

VASP calculation (PBE) on a relaxed structure of Gd3Al7Ag2.

extended XYZ file:
```
12
Lattice="9.3956 0.0000 0.0000 7.7366 5.3312 0.0000 7.7366 2.4075 4.7567" Properties=species:S:1:pos:R:3 pbc="T T T"
Gd 0.0000 0.0000 0.0000
Al 9.7975 4.5444 2.7932
Ag 8.3518 2.5989 1.5974
Al 10.6461 3.3129 0.3601
Al 15.0714 3.1944 1.9634
Gd 3.5404 1.1017 0.6772
Al 12.4344 3.8694 2.3783
Al 14.2227 5.9214 1.9634
Ag 16.5171 5.1398 3.1592
Al 14.2227 4.4259 4.3966
Al 10.6461 1.8173 2.7932
Gd 21.3284 6.6370 4.0795
```

Values from the calculation:
- magnetization (μB/atom) = 1.80
- symmetry = No. 166
- mass density (g/cm³) = 6.1
- energy of formation from the pure elements (meV/atom) = -468

> Among the records above, which one has the highest magnetization?

Gd3Al7Ag2